1.
Computed, not measured: Mg3Tc4 at its PBEsol-relaxed geometry at the meta-GGA SCAN level of DFT.

a b c (Å): 3.0254 3.0254 12.3460
angles (deg): 97.04 97.04 90.00
Closest atoms and distances in Å follow each position.
Sites, in units of the cell vectors:
Tc 0.4261 0.4261 0.8522  4 Tc 2.52, 4 Mg 2.79
Tc 0.5739 0.5739 0.1478  4 Tc 2.52, 4 Mg 2.79
Tc 0.1290 0.1290 0.2580  4 Tc 2.52, 4 Mg 2.81
Tc 0.8710 0.8710 0.7420  4 Tc 2.52, 4 Mg 2.81
Mg 0.0000 0.0000 0.0000  8 Tc 2.79, 4 Mg 3.03
Mg 0.7040 0.7040 0.4080  4 Tc 2.81, 8 Mg 3.03-3.10
Mg 0.2960 0.2960 0.5920  4 Tc 2.81, 8 Mg 3.03-3.10

Properties
Formation energy from the elements (eV/atom): -0.071
Symmetry: I4/mmm
Total magnetic moment (Bohr magnetons per cell): 0.0
E_tot (eV per atom): -22.237



2.
Computed, not measured: Mg5Tc24 at its PBEsol-relaxed geometry at the meta-GGA SCAN level of DFT.

a b c (Å): 8.2175 8.2175 8.2175
angles (deg): 109.47 109.47 109.47
Closest atoms and distances in Å follow each position.
Sites, in units of the cell vectors:
Tc 0.0000 0.6769 0.3950  5 Tc 2.47-2.76, 1 Mg 2.74
Tc 0.8072 0.8072 0.1845  6 Tc 2.47-2.68
Tc 0.8155 0.6227 0.6227  6 Tc 2.47-2.68
Tc 0.3773 0.0000 0.1928  6 Tc 2.47-2.68
Tc 0.6050 0.6050 0.2819  5 Tc 2.47-2.76, 1 Mg 2.74
Tc 0.3950 0.6769 0.0000  5 Tc 2.47-2.76, 1 Mg 2.74
Tc 0.2819 0.6050 0.6050  5 Tc 2.47-2.76, 1 Mg 2.74
Tc 0.6050 0.2819 0.6050  5 Tc 2.47-2.76, 1 Mg 2.74
Tc 0.8072 0.1845 0.8072  6 Tc 2.47-2.68
Tc 0.6769 0.0000 0.3950  5 Tc 2.47-2.76, 1 Mg 2.74
Tc 0.1928 0.0000 0.3773  6 Tc 2.47-2.68
Tc 0.0000 0.1928 0.3773  6 Tc 2.47-2.68
Tc 0.1928 0.3773 0.0000  6 Tc 2.47-2.68
Tc 0.3950 0.0000 0.6769  5 Tc 2.47-2.76, 1 Mg 2.74
Tc 0.7181 0.3231 0.3231  5 Tc 2.47-2.76, 1 Mg 2.74
Tc 0.3231 0.3231 0.7181  5 Tc 2.47-2.76, 1 Mg 2.74
Tc 0.3773 0.1928 0.0000  6 Tc 2.47-2.68
Tc 0.6769 0.3950 0.0000  5 Tc 2.47-2.76, 1 Mg 2.74
Tc 0.6227 0.8155 0.6227  6 Tc 2.47-2.68
Tc 0.6227 0.6227 0.8155  6 Tc 2.47-2.68
Tc 0.1845 0.8072 0.8072  6 Tc 2.47-2.68
Tc 0.0000 0.3773 0.1928  6 Tc 2.47-2.68
Tc 0.0000 0.3950 0.6769  5 Tc 2.47-2.76, 1 Mg 2.74
Tc 0.3231 0.7181 0.3231  5 Tc 2.47-2.76, 1 Mg 2.74
Mg 0.6395 0.0000 0.0000  12 Tc 2.74-3.07, 1 Mg 2.96
Mg 0.3605 0.3605 0.3605  12 Tc 2.74-3.07, 1 Mg 2.96
Mg 0.0000 0.0000 0.6395  12 Tc 2.74-3.07, 1 Mg 2.96
Mg 0.0000 0.6395 0.0000  12 Tc 2.74-3.07, 1 Mg 2.96
Mg 0.0000 0.0000 0.0000  4 Mg 2.96, 12 Tc 2.97

Properties
Formation energy from the elements (eV/atom): -0.095
Symmetry: I-43m
Total magnetic moment (Bohr magnetons per cell): 0.0
E_tot (eV per atom): -29.968



3.
Computed, not measured: MgTc5 at its PBEsol-relaxed geometry at the meta-GGA SCAN level of DFT.

a b c (Å): 2.7537 2.7537 13.2593
angles (deg): 90.00 90.00 120.00
Closest atoms and distances in Å follow each position.
Sites, in units of the cell vectors:
Tc 0.3333 0.6667 0.5000  12 Tc 2.71-2.75
Tc 0.0000 0.0000 0.3349  12 Tc 2.60-2.75
Tc 0.0000 0.0000 0.6651  12 Tc 2.60-2.75
Tc 0.3333 0.6667 0.1797  9 Tc 2.60-2.75, 3 Mg 2.86
Tc 0.3333 0.6667 0.8203  9 Tc 2.60-2.75, 3 Mg 2.86
Mg 0.0000 0.0000 0.0000  6 Mg 2.75, 6 Tc 2.86

Properties
Formation energy from the elements (eV/atom): 0.071
Symmetry: P-6m2
Total magnetic moment (Bohr magnetons per cell): 0.0
E_tot (eV per atom): -29.975



4.
Computed, not measured: MgTcTe2 at its PBEsol-relaxed geometry at the meta-GGA SCAN level of DFT.

a b c (Å): 4.1330 4.1330 5.5882
angles (deg): 111.70 111.70 90.00
Closest atoms and distances in Å follow each position.
Sites, in units of the cell vectors:
Te 0.7500 0.2500 0.5000  4 Tc 2.92, 4 Mg 3.15, 4 Te 3.15
Te 0.0000 0.0000 0.0000  4 Mg 2.92, 4 Tc 3.15, 4 Te 3.15
Tc 0.2500 0.7500 0.5000  8 Te 2.92-3.15, 4 Mg 3.15
Mg 0.5000 0.5000 0.0000  8 Te 2.92-3.15, 4 Tc 3.15

Properties
Formation energy from raw total energies (kJ/mol of atoms): 40.2
Symmetry: I-4m2
Total magnetic moment (Bohr magnetons per cell): 1.3
E_tot (eV per atom): -28.217